(1)
This record from Alexandria describes a relaxed Zr2PbI crystal. The functional is GGA-PBEsol.

Calculated values
As for the formation energy without anion corrections: -0.1845 eV per atom. The total DFT energy (no corrections) comes out at -6.1708 eV/atom.

The structure in CIF format:
```
data_Zr2PbI
_symmetry_space_group_name_H-M 'F m -3 m'
_symmetry_Int_Tables_number 225
_symmetry_space_group_name_Hall '-F 4 2 3'
_cell_length_a 7.127
_cell_length_b 7.127
_cell_length_c 7.127
_cell_angle_alpha 90.00
_cell_angle_beta 90.00
_cell_angle_gamma 90.00
loop_
_atom_site_label
_atom_site_fract_x
_atom_site_fract_y
_atom_site_fract_z
_atom_site_occupancy
Zr1 0.250 0.250 0.250 1
Pb1 0.000 0.000 0.000 1
I1 0.000 0.000 0.500 1
```

---

(2)
This record from Alexandria describes a relaxed TlIn3Rh crystal. The functional is GGA-PBEsol.

Calculated values
The calculation puts the energy relative to the elements at -107 meV per atom. The total DFT energy (no corrections) comes out at -4.0508 eV/atom.

The structure in CIF format:
```
data_TlIn3Rh
_symmetry_space_group_name_H-M 'P m -3 m'
_symmetry_Int_Tables_number 221
_symmetry_space_group_name_Hall '-P 4 2 3'
_cell_length_a 5.082
_cell_length_b 5.082
_cell_length_c 5.082
_cell_angle_alpha 90.00
_cell_angle_beta 90.00
_cell_angle_gamma 90.00
loop_
_atom_site_label
_atom_site_fract_x
_atom_site_fract_y
_atom_site_fract_z
_atom_site_occupancy
Tl1 0.000 0.000 0.000 1
In1 0.000 0.500 0.500 1
Rh1 0.500 0.500 0.500 1
```

---

(3)
This record from Alexandria describes a relaxed CdSiP2Cl crystal. The functional is GGA-PBEsol.

Calculated values
As for the formation energy without anion corrections: 1.0797 eV per atom. The total DFT energy (no corrections) comes out at -3.0272 eV/atom.

The structure in CIF format:
```
data_CdSiP2Cl
_symmetry_space_group_name_H-M 'P 4/m m m'
_symmetry_Int_Tables_number 123
_symmetry_space_group_name_Hall '-P 4 2'
_cell_length_a 4.873
_cell_length_b 4.873
_cell_length_c 4.996
_cell_angle_alpha 90.00
_cell_angle_beta 90.00
_cell_angle_gamma 90.00
loop_
_atom_site_label
_atom_site_fract_x
_atom_site_fract_y
_atom_site_fract_z
_atom_site_occupancy
Cd1 0.000 0.000 0.000 1
Si1 0.500 0.500 0.500 1
P1 0.000 0.500 0.000 1
Cl1 0.000 0.000 0.500 1
```

---

(4)
This record from Alexandria describes a relaxed Li3Mn2CoO6 crystal. The functional is GGA-PBEsol.

Calculated values
The excess energy over the best structure of this formula in the dataset comes out at 46 meV per atom. As for the formation energy without anion corrections: -1.6867 eV per atom. The total DFT energy (no corrections) comes out at -7.0747 eV/atom.

The structure in CIF format:
```
data_Li3Mn2CoO6
_symmetry_space_group_name_H-M 'P -1'
_symmetry_Int_Tables_number 2
_cell_length_a 2.942
_cell_length_b 5.884
_cell_length_c 6.345
_cell_angle_alpha 103.21
_cell_angle_beta 103.12
_cell_angle_gamma 94.78
loop_
_symmetry_equiv_pos_as_xyz
'x,y,z'
'-x,-y,-z'
loop_
_atom_site_label
_atom_site_fract_x
_atom_site_fract_y
_atom_site_fract_z
_atom_site_occupancy
Li1 0.000 0.000 0.000 1
Li2 0.339 0.665 0.670 1
Mn1 0.321 0.177 0.667 1
Co1 0.000 0.500 0.000 1
O1 0.140 0.078 0.342 1
O2 0.201 0.581 0.320 1
O3 0.463 0.278 0.987 1
```

---

(5)
This record from Alexandria describes a relaxed LaNiHg crystal. The functional is GGA-PBEsol.

Calculated values
The calculation puts the energy relative to the elements at 280 meV per atom. The total DFT energy (no corrections) comes out at -3.7440 eV/atom.

The structure in CIF format:
```
data_LaNiHg
_symmetry_space_group_name_H-M 'F -4 3 m'
_symmetry_Int_Tables_number 216
_symmetry_space_group_name_Hall 'F -4 2 3'
_cell_length_a 6.870
_cell_length_b 6.870
_cell_length_c 6.870
_cell_angle_alpha 90.00
_cell_angle_beta 90.00
_cell_angle_gamma 90.00
loop_
_atom_site_label
_atom_site_fract_x
_atom_site_fract_y
_atom_site_fract_z
_atom_site_occupancy
La1 0.000 0.000 0.000 1
Ni1 0.250 0.250 0.750 1
Hg1 0.250 0.250 0.250 1
```

---

(6)
This record from Alexandria describes a relaxed LaMgI2N crystal. The functional is GGA-PBEsol.

Calculated values
As for the formation energy without anion corrections: -0.3891 eV per atom. The total DFT energy (no corrections) comes out at -4.2139 eV/atom.

The structure in CIF format:
```
data_LaMgI2N
_symmetry_space_group_name_H-M 'P 4/m m m'
_symmetry_Int_Tables_number 123
_symmetry_space_group_name_Hall '-P 4 2'
_cell_length_a 6.376
_cell_length_b 6.376
_cell_length_c 4.131
_cell_angle_alpha 90.00
_cell_angle_beta 90.00
_cell_angle_gamma 90.00
loop_
_atom_site_label
_atom_site_fract_x
_atom_site_fract_y
_atom_site_fract_z
_atom_site_occupancy
La1 0.000 0.000 0.000 1
Mg1 0.500 0.500 0.500 1
I1 0.000 0.500 0.000 1
N1 0.000 0.000 0.500 1
```